Entry 1:
Here is a relaxed structure of MgNbIr2 from the Alexandria database. Energies are from PBE.

Cell and atoms, written as extended XYZ:
```
4
Lattice="4.8662 -1.6264 -2.9897 -1.3641 4.9462 2.9897 -3.4437 0.1257 4.8362" Properties=species:S:1:pos:R:3 pbc="T T T"
Mg 0.0000 0.0000 0.0000
Ir -1.2812 1.3516 2.0854
Ir -3.5266 3.7203 5.7404
Nb -2.4039 2.5359 3.9129
```

Values from the calculation:
Density = 11.9 Mg/m³
SG = Immm, No. 71



Entry 2:
Here is a relaxed structure of MgNbIr2 from the Alexandria database. Energies are from PBE.

Cell and atoms, written as extended XYZ:
```
4
Lattice="-0.9134 -0.1247 -2.8661 -2.8611 -0.1803 0.9197 -0.4871 6.9750 -0.1482" Properties=species:S:1:pos:R:3 pbc="T T T"
Mg -2.1308 3.3350 -1.0473
Nb -1.8873 -0.1525 -0.9732
Ir -0.3655 5.2344 -0.1112
Ir -0.1215 1.7406 -0.0370
```

Values from the calculation:
Density = 13.1 Mg/m³
SG = P4/mmm, No. 123



no.,DFT formation energy (eV per atom)
1,0.336
2,-0.498